# 1
First-principles (PBE) data for HfZrCuMo after structural relaxation, as listed in Alexandria.

The structure in POSCAR format:
```
HfZrCuMo
1.0
-4.152 2.120 -0.186
-3.839 -2.470 -0.964
-3.169 -0.782 3.333
Mo Hf Cu Zr
1 1 1 1
Cartesian
-2.790 -0.283 0.546
-5.580 -0.566 1.092
-8.370 -0.849 1.638
0.000 0.000 0.000
```

Results
- energy (eV/atom) = -8.4606
- space group = F-43m, No. 216
- size of the total moment (μB/cell) = 0.0
- energy of formation (eV/atom) = -0.103

=====

# 2
First-principles (PBE) data for TiMnFeAu2 after structural relaxation, as listed in Alexandria.

The structure in POSCAR format:
```
TiMnFeAu2
1.0
-4.511 -0.470 1.859
0.688 -3.927 0.678
1.727 1.073 4.460
Mn Au Fe Ti
1 2 1 1
Cartesian
-1.048 -1.661 3.499
0.863 0.537 2.230
-2.256 -0.235 0.930
0.000 0.000 0.000
0.344 -1.963 0.339
```

Results
- energy (eV/atom) = -5.8277
- space group = P4/mmm, No. 123
- size of the total moment (μB/cell) = 4.4
- energy of formation (eV/atom) = 0.589

=====

# 3
First-principles (PBE) data for Cs2YIF6 after structural relaxation, as listed in Alexandria.

The structure in POSCAR format:
```
Cs2YIF6
1.0
-4.508 -5.955 1.844
1.487 -3.237 -6.819
1.940 -6.670 -0.750
Cs I Y F
2 1 1 6
Cartesian
-2.039 -8.611 -0.697
0.958 -7.251 -5.028
0.000 0.000 0.000
-1.510 -4.596 -2.487
0.263 -5.662 -1.594
-1.344 -10.200 -4.131
-0.912 -2.776 -1.503
-2.108 -6.416 -3.472
-2.697 -5.134 -0.772
-0.323 -4.058 -4.202
```

Results
- energy (eV/atom) = -4.9299
- space group = I4/mmm, No. 139
- formation energy from raw total energies (eV/atom) = -2.83
- size of the total moment (μB/cell) = 0.0

=====

# 4
First-principles (PBE) data for Sc4CoHg3 after structural relaxation, as listed in Alexandria.

The structure in POSCAR format:
```
Sc4CoHg3
1.0
3.270 0.000 0.000
0.000 3.270 0.000
0.000 0.000 15.004
Sc Co Hg
4 1 3
Cartesian
0.000 0.000 13.519
0.000 0.000 1.485
0.000 0.000 5.492
0.000 0.000 9.512
1.635 1.635 0.000
1.635 1.635 3.500
1.635 1.635 7.502
1.635 1.635 11.504
```

Results
- energy (eV/atom) = -4.5669
- space group = P4/mmm, No. 123
- size of the total moment (μB/cell) = 0.5
- energy of formation (eV/atom) = -0.400

=====

# 5
First-principles (PBE) data for NbAsBr2F after structural relaxation, as listed in Alexandria.

The structure in POSCAR format:
```
NbAsBr2F
1.0
5.056 0.000 0.000
0.000 5.056 0.000
0.000 0.000 5.089
Nb As Br F
1 1 2 1
Cartesian
0.000 0.000 0.000
0.000 0.000 2.545
0.000 2.528 0.000
2.528 0.000 0.000
2.528 2.528 2.545
```

Results
- energy relative to the lowest polymorph listed for this composition (eV per atom) = 0.000
- energy (eV/atom) = -4.2341
- space group = P4/mmm, No. 123
- formation energy from raw total energies (eV/atom) = -0.25
- size of the total moment (μB/cell) = 0.5

=====

# 6
First-principles (PBE) data for InHgSe after structural relaxation, as listed in Alexandria.

The structure in POSCAR format:
```
InHgSe
1.0
5.447 0.000 0.000
-2.724 4.718 0.000
0.000 0.000 2.959
Hg In Se
1 1 1
Cartesian
0.000 0.000 2.957
0.000 3.145 1.481
2.724 1.573 1.480
```

Results
- energy relative to the lowest polymorph listed for this composition (eV per atom) = 0.188
- energy (eV/atom) = -2.1849
- space group = P-6m2, No. 187
- formation energy from raw total energies (eV/atom) = -0.01
- size of the total moment (μB/cell) = 0.0

=====

# 7
First-principles (PBE) data for Pr6Er2Sc3 after structural relaxation, as listed in Alexandria.

The structure in POSCAR format:
```
Pr6Er2Sc3
1.0
5.716 -1.666 1.094
-1.984 7.697 3.418
1.563 7.072 12.956
Pr Er Sc
6 2 3
Cartesian
5.049 7.945 13.842
5.841 6.142 10.859
0.245 5.158 3.626
-0.547 6.961 6.609
3.193 8.712 10.506
2.101 4.391 6.963
2.599 2.617 3.847
2.695 10.486 13.622
0.000 0.000 0.000
2.862 7.712 7.339
2.432 5.391 10.129
```

Results
- energy (eV/atom) = -5.0746
- space group = P-1, No. 2
- size of the total moment (μB/cell) = 0.0
- energy of formation (eV/atom) = 0.089

=====

# 8
First-principles (PBE) data for Zr5TiIn3 after structural relaxation, as listed in Alexandria.

The structure in POSCAR format:
```
Zr5TiIn3
1.0
-0.733 4.642 -3.725
7.477 -2.052 -4.028
-7.542 -3.423 -2.781
Zr Ti In
10 2 6
Cartesian
2.470 -2.509 -3.612
-2.902 -0.644 -5.059
-2.536 -2.966 -3.197
2.104 -0.187 -5.475
-0.594 -0.195 -7.367
4.450 0.306 -7.735
1.905 2.808 -4.116
-0.205 -0.637 -3.167
-5.249 -1.138 -2.799
4.839 -0.217 -3.637
0.000 0.000 0.000
-0.367 2.321 -1.862
-0.572 1.649 -5.074
1.910 -0.846 -8.672
4.423 2.117 -5.473
-0.227 -2.480 -5.460
-2.709 0.014 -1.863
2.321 0.474 -2.280
```

Results
- energy (eV/atom) = -6.7431
- space group = P6_3/mcm, No. 193
- size of the total moment (μB/cell) = 2.9
- energy of formation (eV/atom) = -0.204

=====

# 9
First-principles (PBE) data for Cs2GeS3 after structural relaxation, as listed in Alexandria.

The structure in POSCAR format:
```
Cs2GeS3
1.0
7.083 0.000 0.267
3.541 7.342 0.134
-0.619 0.000 16.437
Cs Ge S
8 4 12
Cartesian
5.090 2.806 6.067
1.683 2.806 2.419
4.916 4.536 10.771
8.323 4.536 14.419
5.271 5.727 1.287
8.586 5.727 7.466
4.735 1.615 15.551
1.420 1.615 9.372
5.206 0.075 3.036
1.568 0.075 5.450
4.800 7.267 13.802
8.437 7.267 11.388
6.928 6.528 4.376
3.077 0.814 12.461
5.220 2.221 2.684
1.554 2.221 5.802
4.786 5.121 14.154
8.452 5.121 11.036
4.962 1.235 9.495
1.192 1.235 15.428
5.043 6.107 7.343
8.813 6.107 1.410
3.387 6.527 4.243
6.619 0.815 12.595
```

Results
- energy (eV/atom) = -4.0563
- space group = Cmce, No. 64
- formation energy from raw total energies (eV/atom) = -0.94
- size of the total moment (μB/cell) = 0.0

=====

# 10
First-principles (PBE) data for Cs2RbCd7Au2 after structural relaxation, as listed in Alexandria.

The structure in POSCAR format:
```
Cs2RbCd7Au2
1.0
-4.746 1.799 -1.960
-2.455 -4.170 2.488
-5.340 7.347 12.610
Cs Rb Cd Au
2 1 7 2
Cartesian
-7.857 0.885 5.235
-4.684 4.091 7.903
0.000 0.000 0.000
-3.600 -1.185 0.264
-4.188 1.799 4.571
-8.353 3.178 8.568
-5.670 1.133 1.675
-4.740 -1.288 3.479
-7.801 6.264 9.659
-6.871 3.843 11.463
-9.577 4.387 10.820
-2.964 0.590 2.318
```

Results
- energy (eV/atom) = -1.3910
- space group = C2/m, No. 12
- size of the total moment (μB/cell) = 0.0
- energy of formation (eV/atom) = -0.088

=====

# 11
First-principles (PBE) data for Er3AlAg3Te8 after structural relaxation, as listed in Alexandria.

The structure in POSCAR format:
```
Er3AlAg3Te8
1.0
8.631 0.000 0.000
-4.316 7.475 -0.030
0.000 -4.964 7.003
Er Al Ag Te
3 1 3 8
Cartesian
4.316 -2.482 3.501
2.158 1.256 3.486
-2.158 1.256 3.486
0.000 -2.482 3.501
0.000 0.000 0.000
-2.158 3.737 -0.015
2.158 3.737 -0.015
0.000 2.495 1.738
4.316 0.017 5.235
4.316 2.669 1.808
0.000 -0.158 5.165
2.310 6.145 1.794
2.006 -3.633 5.179
-2.310 6.145 1.794
6.625 -3.633 5.179
```

Results
- energy (eV/atom) = -4.0974
- space group = R-3m, No. 166
- formation energy from raw total energies (eV/atom) = -0.69
- size of the total moment (μB/cell) = 0.0

=====

# 12
First-principles (PBE) data for Sr2SiGe3Au4 after structural relaxation, as listed in Alexandria.

The structure in POSCAR format:
```
Sr2SiGe3Au4
1.0
4.515 0.000 0.000
0.000 4.515 0.000
0.000 0.000 10.714
Sr Si Ge Au
2 1 3 4
Cartesian
2.258 0.000 2.650
0.000 2.258 8.064
2.258 2.258 5.357
0.000 0.000 5.357
2.258 0.000 9.272
0.000 2.258 1.443
2.258 2.258 0.000
0.000 0.000 0.000
2.258 0.000 6.678
0.000 2.258 4.037
```

Results
- energy (eV/atom) = -4.0514
- space group = P-4m2, No. 115
- formation energy from raw total energies (eV/atom) = -0.48
- size of the total moment (μB/cell) = 0.0

=====

# 13
First-principles (PBE) data for Cu3PtAu6 after structural relaxation, as listed in Alexandria.

The structure in POSCAR format:
```
Cu3PtAu6
1.0
7.503 0.000 -0.043
0.000 5.941 0.000
0.164 0.000 7.538
Cu Pt Au
6 2 12
Cartesian
4.124 4.634 5.679
3.751 2.971 -0.022
3.543 1.307 1.816
0.290 4.277 1.932
0.082 0.000 3.769
7.377 1.664 5.563
3.833 2.971 3.747
0.000 0.000 0.000
5.110 0.743 7.049
5.136 0.608 4.185
6.297 1.772 1.863
1.370 4.169 5.632
2.531 5.334 3.310
2.556 5.198 0.445
1.277 2.228 3.302
1.302 2.363 0.437
2.628 1.199 5.654
5.039 4.743 1.841
6.365 3.578 7.057
6.390 3.714 4.193
```

Results
- energy (eV/atom) = -3.7110
- space group = P2_1/c, No. 14
- size of the total moment (μB/cell) = 0.0
- energy of formation (eV/atom) = 0.088

=====

# 14
First-principles (PBE) data for Tm2ThCrC4 after structural relaxation, as listed in Alexandria.

The structure in POSCAR format:
```
Tm2ThCrC4
1.0
3.468 0.000 0.000
-1.734 5.898 0.000
0.000 0.000 11.784
Tm Th Cr C
4 2 2 8
Cartesian
0.000 4.354 6.425
1.734 1.545 0.532
1.734 1.545 5.360
0.000 4.354 11.252
0.000 1.109 8.838
1.734 4.789 2.946
1.734 3.888 8.838
0.000 2.010 2.946
0.000 3.133 1.557
1.734 2.765 7.449
1.734 2.765 10.227
0.000 3.133 4.335
0.000 0.000 5.892
0.000 0.000 0.000
0.000 4.910 8.838
1.734 0.988 2.946
```

Results
- energy (eV/atom) = -8.0395
- space group = Cmcm, No. 63
- size of the total moment (μB/cell) = 0.0
- energy of formation (eV/atom) = -0.179

=====

# 15
First-principles (PBE) data for Ca2Sn4Rh5 after structural relaxation, as listed in Alexandria.

The structure in POSCAR format:
```
Ca2Sn4Rh5
1.0
-3.783 -1.975 -4.137
1.644 -4.180 -3.777
-4.483 -6.548 2.956
Ca Sn Rh
2 4 5
Cartesian
-4.369 -3.233 -3.000
-3.897 -5.290 1.820
-4.572 -7.120 -0.959
-2.049 -5.583 -3.999
-1.429 -3.448 -1.316
-5.192 -9.255 -3.641
-1.891 -0.988 -2.068
0.822 -2.090 -1.888
-1.069 -3.078 -3.957
-2.365 -5.858 -1.444
-4.256 -6.845 -3.513
```

Results
- energy (eV/atom) = -5.7076
- space group = Fmmm, No. 69
- size of the total moment (μB/cell) = 0.0
- energy of formation (eV/atom) = -0.547

=====

# 16
First-principles (PBE) data for MgTa2GeSb after structural relaxation, as listed in Alexandria.

The structure in POSCAR format:
```
MgTa2GeSb
1.0
-0.271 4.478 2.457
-4.122 1.167 -2.581
-2.884 -2.164 3.628
Sb Ge Mg Ta
1 1 1 2
Cartesian
0.000 0.000 0.000
-3.638 1.740 1.752
-2.061 0.583 -1.290
-1.442 -1.082 1.814
-0.135 2.239 1.228
```

Results
- energy (eV/atom) = -5.3047
- space group = P4/mmm, No. 123
- formation energy from raw total energies (eV/atom) = 1.50
- size of the total moment (μB/cell) = 0.0

=====

# 17
First-principles (PBE) data for NdY8Ho3 after structural relaxation, as listed in Alexandria.

The structure in POSCAR format:
```
NdY8Ho3
1.0
7.117 0.470 -4.923
-3.042 8.015 -1.270
-1.704 -0.470 8.484
Nd Y Ho
1 8 3
Cartesian
4.075 8.484 -6.193
2.382 2.182 -0.716
-0.011 5.832 3.006
4.360 6.303 -3.722
-1.990 1.713 6.014
-0.506 3.313 0.769
5.244 0.938 -2.077
2.876 4.701 1.522
-2.874 7.077 4.368
0.881 6.081 -1.339
1.489 1.934 3.630
-2.373 3.772 3.607
```

Results
- energy (eV/atom) = -5.5078
- space group = Immm, No. 71
- size of the total moment (μB/cell) = 0.0
- energy of formation (eV/atom) = 0.343

=====

# 18
First-principles (PBE) data for Ac4Ga2Br3 after structural relaxation, as listed in Alexandria.

The structure in POSCAR format:
```
Ac4Ga2Br3
1.0
4.567 0.000 0.005
-2.284 3.955 -0.005
0.000 0.000 18.888
Ac Ga Br
4 2 3
Cartesian
0.002 2.635 16.797
4.561 0.003 5.765
-2.277 3.951 13.123
2.281 1.320 2.091
2.288 1.316 15.022
-0.004 2.639 3.866
2.275 1.323 7.588
0.000 0.000 0.000
0.008 2.632 11.300
```

Results
- energy (eV/atom) = -4.1342
- space group = C2/m, No. 12
- formation energy from raw total energies (eV/atom) = -1.08
- size of the total moment (μB/cell) = 0.0

=====

# 19
First-principles (PBE) data for V2Co4As after structural relaxation, as listed in Alexandria.

The structure in POSCAR format:
```
V2Co4As
1.0
-0.196 2.659 -3.247
-0.628 -3.232 -2.609
-6.337 0.233 -2.145
As Co V
1 4 2
Cartesian
0.000 0.000 0.000
-4.026 0.030 -2.450
-3.135 -0.371 -5.551
-0.314 -1.616 -1.305
-0.098 1.330 -1.623
-1.974 -0.150 -2.722
-5.188 -0.191 -5.279
```

Results
- energy (eV/atom) = -6.4985
- space group = I4/mmm, No. 139
- size of the total moment (μB/cell) = 1.1
- energy of formation (eV/atom) = 0.832

=====

# 20
First-principles (PBE) data for K7Au4O after structural relaxation, as listed in Alexandria.

The structure in POSCAR format:
```
K7Au4O
1.0
5.123 0.000 0.000
2.561 9.906 0.206
2.561 0.719 8.832
K Au O
7 4 1
Cartesian
7.684 9.011 5.857
2.561 1.615 3.181
2.561 7.639 1.228
7.684 2.986 7.810
5.123 5.846 6.386
2.561 0.000 0.000
5.123 4.780 2.652
5.123 2.541 5.236
5.123 8.085 3.803
7.684 6.529 8.388
2.561 4.096 0.651
0.000 0.000 0.000
```

Results
- energy relative to the lowest polymorph listed for this composition (eV per atom) = 0.062
- energy (eV/atom) = -2.5305
- space group = C2/m, No. 12
- formation energy from raw total energies (eV/atom) = -0.38
- size of the total moment (μB/cell) = 0.0

=====

# 21
First-principles (PBE) data for NaHfGa2Ir after structural relaxation, as listed in Alexandria.

The structure in POSCAR format:
```
NaHfGa2Ir
1.0
-1.526 0.500 4.583
0.748 -4.961 0.790
4.554 0.912 1.417
Na Ir Hf Ga
1 1 1 2
Cartesian
1.888 -1.775 3.395
0.000 0.000 0.000
0.374 -2.481 0.395
2.277 0.456 0.709
-0.763 0.250 2.291
```

Results
- energy (eV/atom) = -5.2336
- space group = P4/mmm, No. 123
- size of the total moment (μB/cell) = 0.0
- energy of formation (eV/atom) = 0.004

=====

# 22
First-principles (PBE) data for YSb2PtSe after structural relaxation, as listed in Alexandria.

The structure in POSCAR format:
```
YSb2PtSe
1.0
5.092 0.000 0.000
0.000 5.678 0.000
0.000 0.000 5.092
Y Sb Se Pt
1 2 1 1
Cartesian
0.000 2.839 0.000
0.000 0.000 2.546
2.546 0.000 0.000
2.546 2.839 2.546
0.000 0.000 0.000
```

Results
- energy (eV/atom) = -4.9908
- space group = P4/mmm, No. 123
- formation energy from raw total energies (eV/atom) = -0.14
- size of the total moment (μB/cell) = 0.0